# VIr2Rh8

A geometry-optimized VIr2Rh8 structure (PBE-GGA, Alexandria).

a b c (Å): 7.942 9.989 4.178
angles (deg): 90.00 90.00 90.00
Space group Cmmm (No. 65)
One atom of each set of equivalent atoms:
V  0.000  0.000  0.000 (multiplicity 2)
Ir  0.000  0.376  0.500 (multiplicity 4)
Rh  0.000  0.243  0.000 (multiplicity 4)
Rh  0.165  0.131  0.500 (multiplicity 8)
Rh  0.174  0.500  0.000 (multiplicity 4)

Properties
The total energy comes out at -169.172 eV/cell. As for the total moment: 0.00 μB/f.u. The calculation puts the formation energy at 0.10 eV per atom. Its density of states at the Fermi level is 26.26 states/eV per cell.